No. 1
Compound: Dy2ZnSi3
Source: Alexandria
Functional: PBE
Structure: optimized geometry

The value obtained for the formation energy from raw total energies is -0.648 eV per atom.

The structure belongs to space group Imm2 (No. 44); the cell edges are 4.0320, 4.0898 and 13.9164 Å and the angles 90.00°, 90.00° and 90.00°. The inequivalent atoms are Dy at (0.0000, 0.0000, 0.0000), Dy at (0.0000, 0.5000, 0.2599), Zn at (0.0000, 0.0000, 0.5912), Si at (0.0000, 0.0000, 0.4237), Si at (0.0000, 0.5000, 0.6723) and Si at (0.0000, 0.5000, 0.8383).



No. 2
Compound: DyZnSi2
Source: Alexandria
Functional: PBE
Structure: optimized geometry

The calculation puts the polymorph energy (0 for the lowest one) at 0.000 eV per atom. The value obtained for the formation energy from raw total energies is -0.393 eV per atom.

The structure belongs to space group Pnma (No. 62); the cell edges are 13.6118, 4.1552 and 10.4151 Å and the angles 90.00°, 90.00° and 90.00°. The inequivalent atoms are Dy at (0.0527, 0.2500, 0.2384), Dy at (0.1868, 0.7500, 0.9480), Zn at (0.0554, 0.2500, 0.5418), Zn at (0.2266, 0.7500, 0.6425), Si at (0.0232, 0.2500, 0.9562), Si at (0.1105, 0.2500, 0.7640), Si at (0.1327, 0.7500, 0.4419) and Si at (0.2119, 0.7500, 0.2400).



No. 3
Compound: DyZnSi2
Source: Alexandria
Functional: PBE
Structure: optimized geometry

The calculation puts the polymorph energy (0 for the lowest one) at 0.165 eV per atom. The value obtained for the formation energy from raw total energies is -0.228 eV per atom.

The structure belongs to space group Cmmm (No. 65); the cell edges are 5.3815, 8.8588 and 3.0538 Å and the angles 90.00°, 90.00° and 90.00°. The inequivalent atoms are Dy at (0.0000, 0.0000, 0.0000), Zn at (0.0000, 0.5000, 0.5000) and Si at (0.2500, 0.2500, 0.5000).



No. 4
Compound: Dy3Zn2Si3
Source: Alexandria
Functional: PBE
Structure: optimized geometry

The value obtained for the formation energy from raw total energies is -0.602 eV per atom.

The structure belongs to space group Cmcm (No. 63); the cell edges are 4.1103, 10.6488 and 14.8021 Å and the angles 90.00°, 90.00° and 90.00°. The inequivalent atoms are Dy at (0.0000, 0.0708, 0.2500), Dy at (0.0000, 0.3633, 0.0975), Zn at (0.0000, 0.3473, 0.6184), Si at (0.0000, 0.0807, 0.0532) and Si at (0.0000, 0.2042, 0.7500).



No. 5
Compound: Sm5Dy6
Source: Alexandria
Functional: PBE
Structure: optimized geometry

The calculation puts the polymorph energy (0 for the lowest one) at 0.022 eV per atom. As for the formation energy: 0.137 eV per atom.

The structure belongs to space group C2/m (No. 12); the cell edges are 9.1002, 13.1172 and 6.4031 Å and the angles 90.00°, 107.59° and 90.00°. The inequivalent atoms are Sm at (0.0000, 0.0000, 0.0000), Sm at (0.0000, 0.1294, 0.5000), Sm at (0.0000, 0.2603, 0.0000), Dy at (0.1640, 0.5000, 0.1894) and Dy at (0.1771, 0.3698, 0.6726).



No. 6
Compound: Sm3Dy
Source: Alexandria
Functional: PBE
Structure: optimized geometry

The calculation puts the polymorph energy (0 for the lowest one) at 0.007 eV per atom. As for the formation energy: 0.021 eV per atom.

The structure belongs to space group P6_3/mmc (No. 194); the cell edges are 7.3173, 7.3173 and 5.7858 Å and the angles 90.00°, 90.00° and 120.00°. The inequivalent atoms are Sm at (0.1670, 0.3340, 0.2500) and Dy at (0.3333, 0.6667, 0.7500).



No. 7
Compound: Sm4Dy
Source: Alexandria
Functional: PBE
Structure: optimized geometry

The calculation puts the polymorph energy (0 for the lowest one) at 0.644 eV per atom. As for the formation energy: 0.656 eV per atom.

The structure belongs to space group Pm-3m (No. 221); the cell edges are 5.7618, 5.7618 and 5.7618 Å and the angles 90.00°, 90.00° and 90.00°. The inequivalent atoms are Sm at (0.0000, 0.0000, 0.0000), Sm at (0.0000, 0.5000, 0.5000) and Dy at (0.5000, 0.5000, 0.5000).



No. 8
Compound: Sm6Dy
Source: Alexandria
Functional: PBE
Structure: optimized geometry

The calculation puts the polymorph energy (0 for the lowest one) at 0.000 eV per atom. As for the formation energy: 0.249 eV per atom.

The structure belongs to space group P4/nbm (No. 125, origin choice 2); the cell edges are 6.5636, 6.5636 and 11.2111 Å and the angles 90.00°, 90.00° and 90.00°. The inequivalent atoms are Sm at (0.0821, 0.5821, 0.1390), Sm at (0.2500, 0.2500, 0.3624) and Dy at (0.2500, 0.7500, 0.5000).



No. 9
Compound: Sm5Dy2
Source: Alexandria
Functional: PBE
Structure: optimized geometry

The calculation puts the polymorph energy (0 for the lowest one) at 0.000 eV per atom. As for the formation energy: 0.015 eV per atom.

The structure belongs to space group P-1 (No. 2); the cell edges are 3.5980, 8.0664 and 8.8256 Å and the angles 68.47°, 89.99° and 77.12°. The inequivalent atoms are Sm at (0.0000, 0.0000, 0.0000), Sm at (0.1437, 0.7135, 0.4277), Sm at (0.4277, 0.1453, 0.2843) and Dy at (0.2850, 0.4289, 0.8585).



No. 10
Compound: Sm7Dy
Source: Alexandria
Functional: PBE
Structure: optimized geometry

As for the formation energy: 0.011 eV per atom.

The structure belongs to space group Fm-3m (No. 225); the cell edges are 10.2196, 10.2196 and 10.2196 Å and the angles 90.00°, 90.00° and 90.00°. The inequivalent atoms are Sm at (0.0000, 0.0000, 0.0000), Sm at (0.0000, 0.2500, 0.2500) and Dy at (0.0000, 0.0000, 0.5000).



No. 11
Compound: SmDy2
Source: Alexandria
Functional: PBE
Structure: optimized geometry

The calculation puts the polymorph energy (0 for the lowest one) at 0.001 eV per atom. As for the formation energy: 0.017 eV per atom.

The structure belongs to space group C2/m (No. 12); the cell edges are 13.0301, 3.6407 and 8.4838 Å and the angles 90.00°, 103.31° and 90.00°. The inequivalent atoms are Sm at (0.1387, 0.0000, 0.0308), Dy at (0.0266, 0.5000, 0.3089) and Dy at (0.1948, 0.0000, 0.6370).



No. 12
Compound: Sm2Dy7
Source: Alexandria
Functional: PBE
Structure: optimized geometry

The calculation puts the polymorph energy (0 for the lowest one) at 0.000 eV per atom. As for the formation energy: 0.018 eV per atom.

The structure belongs to space group P-31m (No. 162); the cell edges are 6.1660, 6.1660 and 8.7092 Å and the angles 90.00°, 90.00° and 120.00°. The inequivalent atoms are Sm at (0.3333, 0.6667, 0.0000), Dy at (0.0000, 0.0000, 0.0000) and Dy at (0.0000, 0.3328, 0.6650).



> Which formula does entry 4 have?

Dy3Zn2Si3